# Zr2Cd2Bi, relaxed, DFT GGA-PBE
# - energy above the lowest structure with this stoichiometry (meV per atom) = 0.0
# - VASP energy (eV per atom) = -4.568
# - calculated density (g/cm³) = 8.10
# - ΔE_f (eV per atom) = -0.01
data_Zr2Cd2Bi
_chemical_formula_sum 'Zr4 Cd4 Bi2'
_cell_length_a 7.542
_cell_length_b 7.542
_cell_length_c 4.440
_cell_angle_alpha 90.00
_cell_angle_beta 90.00
_cell_angle_gamma 90.00
_space_group_name_H-M_alt 'P 4/m b m'
_space_group_IT_number 127
_space_group_name_Hall '-P 4 2ab'
loop_
_atom_site_label
_atom_site_fract_x
_atom_site_fract_y
_atom_site_fract_z
Zr1 0.147 0.353 0.000
Cd1 0.147 0.647 0.500
Bi1 0.000 0.000 0.000